No. 1
# SmYTm4 (PBE-GGA, optimized geometry)
# Energy of formation from the pure elements: 1.59 eV per formula unit
# Size of the total moment: 5.5 μB/cell
data_SmYTm4
_chemical_formula_sum 'Sm4 Y4 Tm16'
_cell_length_a 9.2428
_cell_length_b 9.2428
_cell_length_c 9.2428
_cell_angle_alpha 90.00
_cell_angle_beta 90.00
_cell_angle_gamma 90.00
_symmetry_space_group_name_H-M 'F -4 3 m'
_symmetry_Int_Tables_number 216
_symmetry_space_group_name_Hall 'F -4 2 3'
loop_
_atom_site_label
_atom_site_fract_x
_atom_site_fract_y
_atom_site_fract_z
Sm1 0.0000 0.0000 0.0000
Y1 0.2500 0.2500 0.7500
Tm1 0.1246 0.1246 0.3754

---

No. 2
# ZrTaP (PBE-GGA, optimized geometry)
# Energy of formation from the pure elements: -1.94 eV per formula unit
# Size of the total moment: 0.0 μB/cell
data_ZrTaP
_chemical_formula_sum 'Zr1 Ta1 P1'
_cell_length_a 3.4676
_cell_length_b 3.4676
_cell_length_c 5.4616
_cell_angle_alpha 90.00
_cell_angle_beta 90.00
_cell_angle_gamma 120.00
_symmetry_space_group_name_H-M 'P 3 m 1'
_symmetry_Int_Tables_number 156
_symmetry_space_group_name_Hall 'P 3 -2"'
loop_
_atom_site_label
_atom_site_fract_x
_atom_site_fract_y
_atom_site_fract_z
Zr1 0.0000 0.0000 0.0000
Ta1 0.3333 0.6667 0.5652
P1 0.6667 0.3333 0.2996

---

No. 3
# Sc2In2Os (PBE-GGA, optimized geometry)
# Energy of formation from the pure elements: -0.12 eV per formula unit
# Size of the total moment: 0.0 μB/cell
data_Sc2In2Os
_chemical_formula_sum 'Sc4 In4 Os2'
_cell_length_a 7.2412
_cell_length_b 7.2412
_cell_length_c 3.9376
_cell_angle_alpha 90.00
_cell_angle_beta 90.00
_cell_angle_gamma 90.00
_symmetry_space_group_name_H-M 'P 4/m b m'
_symmetry_Int_Tables_number 127
_symmetry_space_group_name_Hall '-P 4 2ab'
loop_
_atom_site_label
_atom_site_fract_x
_atom_site_fract_y
_atom_site_fract_z
Sc1 0.1725 0.3275 0.0000
In1 0.1367 0.6367 0.5000
Os1 0.0000 0.0000 0.5000

---

- energy of formation from the pure elements of number 1 (SmYTm4)?
  1.59 eV per formula unit

---

- Which of these has the highest size of the total moment?
  SmYTm4

---

- What is the formula in the first record?
  SmYTm4